Record 1
DFT (PBE-GGA) results for crystalline ErAl4Ni at its relaxed geometry.

Cell and atoms, written as POSCAR:
```
ErAl4Ni
1.0
6.1203 -3.7317 0.0000
6.1203 3.7317 0.0000
-0.7841 0.0000 4.6140
Er Al Ni
2 8 2
Direct
0.2504 0.7496 0.7500
0.7496 0.2504 0.2500
0.0712 0.2201 0.8149
0.2201 0.0712 0.3149
0.2793 0.4284 0.1840
0.4284 0.2793 0.6840
0.5716 0.7207 0.3160
0.7207 0.5716 0.8160
0.7799 0.9288 0.6851
0.9288 0.7799 0.1851
0.0000 0.5000 0.5000
0.5000 0.0000 0.0000
```

Summary:
DFT total energy = -54.7 eV/cell
Space-group type = No. 15
DOS at the Fermi energy = 0.295 states/eV/atom
Energy of formation from the pure elements = -0.3405 eV/atom



Record 2
DFT (PBE-GGA) results for crystalline Er5AlNi2 at its relaxed geometry.

Cell and atoms, written as POSCAR:
```
Er5AlNi2
1.0
-3.7700 3.7700 6.5616
3.7700 -3.7700 6.5616
3.7700 3.7700 -6.5616
Er Al Ni
10 2 4
Direct
0.0000 0.0000 0.0000
0.0243 0.5243 0.8243
0.2000 0.0243 0.5000
0.3000 0.8000 0.8243
0.4757 0.3000 0.5000
0.5000 0.5000 0.0000
0.5243 0.7000 0.5000
0.7000 0.2000 0.1757
0.8000 0.9757 0.5000
0.9757 0.4757 0.1757
0.2500 0.2500 0.0000
0.7500 0.7500 0.0000
0.1259 0.3741 0.5000
0.3741 0.8741 0.2483
0.6259 0.1259 0.7517
0.8741 0.6259 0.5000
```

Summary:
DFT total energy = -81.8 eV/cell
Space-group type = No. 140
DOS at the Fermi energy = 1.152 states/eV/atom
Energy of formation from the pure elements = -0.3468 eV/atom



Record 3
DFT (PBE-GGA) results for crystalline Er3Al2Ni9 at its relaxed geometry.

Cell and atoms, written as POSCAR:
```
Er3Al2Ni9
1.0
-1.9801 4.3086 6.0927
1.9801 -4.3086 6.0927
1.9801 4.3086 -6.0927
Er Al Ni
3 2 9
Direct
0.0000 0.0000 0.0000
0.2977 0.2977 0.0000
0.7023 0.7023 0.0000
0.2927 0.5000 0.7927
0.7073 0.5000 0.2073
0.0288 0.6768 0.3520
0.1592 0.8807 0.2785
0.3248 0.6768 0.6480
0.3978 0.1193 0.2785
0.5000 0.0000 0.5000
0.6022 0.8807 0.7215
0.6752 0.3232 0.3520
0.8408 0.1193 0.7215
0.9712 0.3232 0.6480
```

Summary:
DFT total energy = -79.2 eV/cell
Space-group type = No. 71
DOS at the Fermi energy = 0.825 states/eV/atom
Energy of formation from the pure elements = -0.4265 eV/atom



Record 4
DFT (PBE-GGA) results for crystalline Er2Al5Ni3 at its relaxed geometry.

Cell and atoms, written as POSCAR:
```
Er2Al5Ni3
1.0
2.0615 -12.2458 0.0000
2.0615 12.2458 0.0000
0.0000 0.0000 6.5171
Er Al Ni
4 10 6
Direct
0.0213 0.9787 0.5000
0.3253 0.6747 0.4471
0.6747 0.3253 0.9471
0.9787 0.0213 0.0000
0.0985 0.9015 0.1351
0.2079 0.7921 0.6381
0.2124 0.7876 0.2388
0.3715 0.6285 0.9726
0.4442 0.5558 0.3277
0.5558 0.4442 0.8277
0.6285 0.3715 0.4726
0.7876 0.2124 0.7388
0.7921 0.2079 0.1381
0.9015 0.0985 0.6351
0.1096 0.8904 0.7497
0.2719 0.7281 0.9359
0.4518 0.5482 0.7154
0.5482 0.4518 0.2154
0.7281 0.2719 0.4359
0.8904 0.1096 0.2497
```

Summary:
DFT total energy = -102.2 eV/cell
Space-group type = No. 36
DOS at the Fermi energy = 0.512 states/eV/atom
Energy of formation from the pure elements = -0.5897 eV/atom



Record 5
DFT (PBE-GGA) results for crystalline ErAl12Ni6 at its relaxed geometry.

Cell and atoms, written as POSCAR:
```
ErAl12Ni6
1.0
5.4693 3.1577 2.7848
-5.4693 3.1577 2.7848
0.0000 -6.3154 2.7848
Er Al Ni
1 12 6
Direct
0.0000 0.0000 0.0000
0.1183 0.5000 0.8817
0.1183 0.8817 0.5000
0.1545 0.4121 0.4121
0.4121 0.1545 0.4121
0.4121 0.4121 0.1545
0.5000 0.1183 0.8817
0.5000 0.8817 0.1183
0.5879 0.5879 0.8455
0.5879 0.8455 0.5879
0.8455 0.5879 0.5879
0.8817 0.1183 0.5000
0.8817 0.5000 0.1183
0.2740 0.2740 0.7024
0.2740 0.7024 0.2740
0.2976 0.7260 0.7260
0.7024 0.2740 0.2740
0.7260 0.2976 0.7260
0.7260 0.7260 0.2976
```

Summary:
DFT total energy = -92.4 eV/cell
Space-group type = No. 166
DOS at the Fermi energy = 0.343 states/eV/atom
Energy of formation from the pure elements = -0.4351 eV/atom



Record 6
DFT (PBE-GGA) results for crystalline ErAl4Ni at its relaxed geometry.

Cell and atoms, written as POSCAR:
```
ErAl4Ni
1.0
4.0462 0.0000 0.0000
0.0000 6.6460 0.0000
-2.0346 0.0000 7.6411
Er Al Ni
2 8 2
Direct
0.1190 0.2500 0.2383
0.8810 0.7500 0.7617
0.0755 0.7500 0.1507
0.3117 0.0535 0.6238
0.3117 0.4465 0.6238
0.5000 0.0000 0.0000
0.5000 0.5000 0.0000
0.6883 0.5535 0.3762
0.6883 0.9465 0.3762
0.9245 0.2500 0.8493
0.2276 0.7500 0.4548
0.7724 0.2500 0.5452
```

Summary:
DFT total energy = -57.2 eV/cell
Space-group type = No. 11
DOS at the Fermi energy = 0.323 states/eV/atom
Energy of formation from the pure elements = -0.5454 eV/atom



Record 7
DFT (PBE-GGA) results for crystalline Er2Al2Ni15 at its relaxed geometry.

Cell and atoms, written as POSCAR:
```
Er2Al2Ni15
1.0
4.1308 2.3849 4.1031
-4.1308 2.3849 4.1031
0.0000 -4.7698 4.1031
Er Al Ni
2 2 15
Direct
0.1501 0.1501 0.1501
0.8499 0.8499 0.8499
0.3970 0.3970 0.3970
0.6030 0.6030 0.6030
0.0000 0.5000 0.5000
0.1542 0.1542 0.6518
0.1542 0.6518 0.1542
0.2044 0.5000 0.7956
0.2044 0.7956 0.5000
0.3482 0.8458 0.8458
0.5000 0.0000 0.5000
0.5000 0.2044 0.7956
0.5000 0.5000 0.0000
0.5000 0.7956 0.2044
0.6518 0.1542 0.1542
0.7956 0.2044 0.5000
0.7956 0.5000 0.2044
0.8458 0.3482 0.8458
0.8458 0.8458 0.3482
```

Summary:
DFT total energy = -109.5 eV/cell
Space-group type = No. 166
DOS at the Fermi energy = 1.360 states/eV/atom
Energy of formation from the pure elements = -0.3225 eV/atom



Record 8
DFT (PBE-GGA) results for crystalline ErAl8Ni4 at its relaxed geometry.

Cell and atoms, written as POSCAR:
```
ErAl8Ni4
1.0
-4.2858 4.2858 2.5521
4.2858 -4.2858 2.5521
4.2858 4.2858 -2.5521
Er Al Ni
1 8 4
Direct
0.0000 0.0000 0.0000
0.0000 0.3436 0.3436
0.0000 0.6564 0.6564
0.2782 0.5000 0.7782
0.3436 0.0000 0.3436
0.5000 0.2782 0.7782
0.5000 0.7218 0.2218
0.6564 0.0000 0.6564
0.7218 0.5000 0.2218
0.0000 0.0000 0.5000
0.0000 0.5000 0.0000
0.5000 0.0000 0.0000
0.5000 0.5000 0.5000
```

Summary:
DFT total energy = -65.4 eV/cell
Space-group type = No. 139
DOS at the Fermi energy = 0.327 states/eV/atom
Energy of formation from the pure elements = -0.5944 eV/atom